This record from Alexandria describes a relaxed structure of EuTlBi. The functional is GGA-PBE.

a b c (Å): 4.9584 4.9584 4.8053
angles (deg): 90.00 90.00 120.00
Space group P3m1 (No. 156)
Symmetry-distinct sites (fractional):
Eu 0.0000 0.0000 0.0000 (multiplicity 1)
Tl 0.3333 0.6667 0.3460 (multiplicity 1)
Bi 0.6667 0.3333 0.6391 (multiplicity 1)

ΔE to the lowest computed polymorph in meV per atom: 0.0
Energy of formation from the pure elements in kJ/mol of atoms: -44.9
Calculated density in g/cm³: 9.175